Record 1
DFT (PBE) results for an optimized crystal structure of Li6SiAs4.

a = 8.7969 Å, b = 8.7969 Å, c = 5.8540 Å
α = 90.00°, β = 90.00°, γ = 120.00°
Closest atoms and distances in Å follow each position.
Positions (direct):
Li 0.0207 0.5103 0.0000  6 As 2.75-3.07, 1 Si 2.85, 6 Li 2.93-3.05
Li 0.1585 0.3171 0.2507  4 As 2.62-2.93, 2 Li 2.93
Li 0.1585 0.8415 0.2507  4 As 2.62-2.93, 2 Li 2.93
Li 0.3171 0.1585 0.7507  4 As 2.62-2.93, 2 Li 2.93
Li 0.4897 0.5103 0.0000  6 As 2.75-3.07, 1 Si 2.85, 6 Li 2.93-3.05
Li 0.4897 0.9793 0.0000  6 As 2.75-3.07, 1 Si 2.85, 6 Li 2.93-3.05
Li 0.5103 0.0207 0.5000  6 As 2.75-3.07, 1 Si 2.85, 6 Li 2.93-3.05
Li 0.5103 0.4897 0.5000  6 As 2.75-3.07, 1 Si 2.85, 6 Li 2.93-3.05
Li 0.6829 0.8415 0.2507  4 As 2.62-2.93, 2 Li 2.93
Li 0.8415 0.1585 0.7507  4 As 2.62-2.93, 2 Li 2.93
Li 0.8415 0.6829 0.7507  4 As 2.62-2.93, 2 Li 2.93
Li 0.9793 0.4897 0.5000  6 As 2.75-3.07, 1 Si 2.85, 6 Li 2.93-3.05
Si 0.3333 0.6667 0.6585  4 As 2.36-2.39
Si 0.6667 0.3333 0.1585  4 As 2.36-2.39
As 0.1827 0.3653 0.7544  1 Si 2.36, 2 Li 2.62
As 0.1827 0.8173 0.7544  1 Si 2.36, 2 Li 2.62
As 0.3333 0.6667 0.2499  1 Si 2.39, 3 Li 2.66
As 0.3653 0.1827 0.2544  1 Si 2.36, 2 Li 2.62
As 0.6347 0.8173 0.7544  1 Si 2.36, 2 Li 2.62
As 0.6667 0.3333 0.7499  1 Si 2.39, 3 Li 2.66
As 0.8173 0.1827 0.2544  1 Si 2.36, 2 Li 2.62
As 0.8173 0.6347 0.2544  1 Si 2.36, 2 Li 2.62

Summary:
**Space group**: No. 186
**Mass density**: 3.1 g cm⁻³
**Total moment**: 0.0 Bohr magnetons per cell

***

Record 2
DFT (PBE) results for an optimized crystal structure of SrLi2SiAs.

a = 5.3307 Å, b = 5.3307 Å, c = 5.4709 Å
α = 90.00°, β = 90.00°, γ = 90.00°
Closest atoms and distances in Å follow each position.
Positions (direct):
Sr 0.0000 0.0000 0.0000  4 Li 2.67, 2 Si 2.74
Li 0.0000 0.5000 0.0000  2 Sr 2.67
Li 0.5000 0.0000 0.0000  2 Sr 2.67
Si 0.0000 0.0000 0.5000  2 Sr 2.74
As 0.5000 0.5000 0.5000  4 Si 3.77, 8 Li 3.82

Summary:
**Space group**: No. 123
**Mass density**: 2.2 g cm⁻³
**Total moment**: 0.0 Bohr magnetons per cell

***

Record 3
DFT (PBE) results for an optimized crystal structure of Li2SiTe4As.

a = 8.2465 Å, b = 8.2465 Å, c = 8.2465 Å
α = 121.02°, β = 119.35°, γ = 89.69°
Closest atoms and distances in Å follow each position.
Positions (direct):
Li 0.0000 0.0000 0.0000  6 Te 2.91-2.94
Li 0.5000 0.0000 0.0000  6 Te 2.98-3.00
Li 0.5000 0.0000 0.5000  6 Te 2.91-2.94
Li 0.5000 0.5000 0.5000  6 Te 2.98-3.00
Si 0.0000 0.0000 0.5000  6 Te 2.84-2.85
Si 0.0000 0.5000 0.0000  6 Te 2.84-2.85
Te 0.2378 0.7491 0.4887  2 Si 2.84, 1 As 2.91, 3 Li 2.94-2.98
Te 0.2396 0.2509 0.9887  2 Si 2.84, 1 As 2.91, 3 Li 2.94-2.98
Te 0.2435 0.2446 0.5011  1 Si 2.85, 2 As 2.90, 3 Li 2.91-3.00
Te 0.2435 0.7424 0.9989  1 Si 2.85, 2 As 2.90, 3 Li 2.91-3.00
Te 0.7565 0.2576 0.0011  1 Si 2.85, 2 As 2.90, 3 Li 2.91-3.00
Te 0.7565 0.7554 0.4989  1 Si 2.85, 2 As 2.90, 3 Li 2.91-3.00
Te 0.7604 0.7491 0.0113  2 Si 2.84, 1 As 2.91, 3 Li 2.94-2.98
Te 0.7622 0.2509 0.5113  2 Si 2.84, 1 As 2.91, 3 Li 2.94-2.98
As 0.0000 0.5000 0.5000  6 Te 2.90-2.91
As 0.5000 0.5000 0.0000  6 Te 2.90-2.91

Summary:
**Space group**: No. 74
**Mass density**: 5.3 g cm⁻³
**Total moment**: 0.0 Bohr magnetons per cell

***

no.,E_tot (eV/f.u.)
1,-41.0
2,-9.8
3,-28.9